# 1
Computed, not measured: a relaxed structure of SrEuTlPd at the PBE-GGA level of DFT.

abc: 5.4604 5.4604 5.4604
angles: 60.00 60.00 60.00
With the nearest neighbours (Å) after each atom.
Atoms (fractional coordinates):
Sr  0.2500  0.2500  0.2500  4 Pd 3.34, 4 Tl 3.34
Pd  0.5000  0.5000  0.5000  4 Eu 3.34, 4 Sr 3.34
Tl  0.0000  0.0000  0.0000  4 Sr 3.34, 4 Eu 3.34
Eu  0.7500  0.7500  0.7500  4 Tl 3.34, 4 Pd 3.34

Properties
The magnetic moment is 1.771 μB per atom. For the total energy, the calculation gives -5.29 eV per atom. The formation energy is -0.409 eV per atom.


# 2
Computed, not measured: a relaxed structure of BaAsPbSe2 at the PBE-GGA level of DFT.

abc: 5.6330 5.6330 5.3734
angles: 90.00 90.00 90.00
With the nearest neighbours (Å) after each atom.
Atoms (fractional coordinates):
Pb  0.0000  0.0000  0.0000  2 As 2.69, 4 Se 2.82
Se  0.5000  0.0000  0.0000  2 Pb 2.82
Se  0.0000  0.5000  0.0000  2 Pb 2.82
As  0.0000  0.0000  0.5000  2 Pb 2.69
Ba  0.5000  0.5000  0.5000  8 Se 3.89, 4 As 3.98

Properties
The magnetic moment is 0.084 μB per atom. As for the energy relative to the lowest polymorph listed for this composition: 0.000 eV/atom. For the total energy, the calculation gives -3.83 eV per atom. The formation energy (no corrections) is -0.3845 eV per atom.


# 3
Computed, not measured: a relaxed structure of UPa2C at the PBE-GGA level of DFT.

abc: 3.0065 3.0065 8.2956
angles: 90.00 90.00 90.00
With the nearest neighbours (Å) after each atom.
Atoms (fractional coordinates):
Pa  0.0000  0.0000  0.1762  4 C 2.58
Pa  0.0000  0.0000  0.8238  4 C 2.58
C  0.5000  0.5000  0.0000  8 Pa 2.58
U  0.5000  0.5000  0.5000  4 U 3.01

Properties
The magnetic moment is 0.374 μB per atom. For the total energy, the calculation gives -9.65 eV per atom. The formation energy is 0.225 eV per atom.


# 4
Computed, not measured: a relaxed structure of LiPmGdCd at the PBE-GGA level of DFT.

abc: 5.3422 5.3422 5.3422
angles: 60.00 60.00 60.00
With the nearest neighbours (Å) after each atom.
Atoms (fractional coordinates):
Cd  0.7500  0.7500  0.7500  4 Gd 3.27, 4 Pm 3.27
Pm  0.5000  0.5000  0.5000  4 Li 3.27, 4 Cd 3.27
Gd  0.0000  0.0000  0.0000  4 Cd 3.27, 4 Li 3.27
Li  0.2500  0.2500  0.2500  4 Gd 3.27, 4 Pm 3.27

Properties
The magnetic moment is 1.988 μB per atom. For the total energy, the calculation gives -5.55 eV per atom. The formation energy is -0.137 eV per atom.


# 5
Computed, not measured: a relaxed structure of WC2 at the PBE-GGA level of DFT.

abc: 5.7522 5.7522 2.9724
angles: 90.00 90.00 120.00
With the nearest neighbours (Å) after each atom.
Atoms (fractional coordinates):
C  0.0000  0.5851  0.5000  5 W 2.28-2.39, 2 C 2.37
C  0.7362  0.7362  0.0000  4 W 2.12-2.15, 2 C 2.37
C  0.4149  0.4149  0.5000  5 W 2.28-2.39, 2 C 2.37
C  0.2638  0.0000  0.0000  4 W 2.12-2.15, 2 C 2.37
C  0.0000  0.2638  0.0000  4 W 2.12-2.15, 2 C 2.37
C  0.5851  0.0000  0.5000  5 W 2.28-2.39, 2 C 2.37
W  0.3333  0.6667  0.0000  9 C 2.15-2.28
W  0.0000  0.0000  0.5000  6 C 2.12
W  0.6667  0.3333  0.0000  9 C 2.15-2.28

Properties
The magnetic moment is 0.000 μB per atom. As for the energy relative to the lowest polymorph listed for this composition: 0.755 eV/atom. For the total energy, the calculation gives -9.20 eV per atom. The formation energy is 1.271 eV per atom.


# 6
Computed, not measured: a relaxed structure of Ac3Pm3HoTe8 at the PBE-GGA level of DFT.

abc: 9.0648 9.0650 9.2286
angles: 119.41 90.00 120.00
With the nearest neighbours (Å) after each atom.
Atoms (fractional coordinates):
Ac  0.5000  0.5000  0.0000  6 Te 3.31
Ac  0.0000  0.0000  0.0000  6 Te 3.31
Ac  0.0000  0.5000  0.0000  6 Te 3.31
Te  0.2556  0.5112  0.2668  3 Pm 3.16, 3 Ac 3.31
Te  0.7452  0.9892  0.7332  1 Ho 3.16, 2 Pm 3.16, 2 Ac 3.31
Te  0.2548  0.0108  0.2668  1 Ho 3.16, 2 Pm 3.16, 2 Ac 3.31
Te  0.7560  0.5119  0.2668  1 Ho 3.16, 2 Pm 3.16, 2 Ac 3.31
Te  0.2440  0.9892  0.7332  1 Ho 3.16, 2 Pm 3.16, 2 Ac 3.31
Te  0.7560  0.0108  0.2668  1 Ho 3.16, 2 Pm 3.16, 2 Ac 3.31
Te  0.7444  0.4888  0.7332  3 Pm 3.16, 3 Ac 3.31
Te  0.2440  0.4881  0.7332  1 Ho 3.16, 2 Pm 3.16, 2 Ac 3.31
Pm  0.5000  0.0000  0.5000  6 Te 3.16
Pm  0.5000  0.5000  0.5000  6 Te 3.16
Pm  0.0000  0.5000  0.5000  6 Te 3.16
Ho  0.0000  0.0000  0.5000  6 Te 3.16

Properties
The magnetic moment is 0.000 μB per atom. For the total energy, the calculation gives -5.22 eV per atom. The formation energy (no corrections) is -1.4635 eV per atom.


# 7
Computed, not measured: a relaxed structure of SmMgZnRh at the PBE-GGA level of DFT.

abc: 4.8159 4.8159 4.8159
angles: 60.00 60.00 60.00
With the nearest neighbours (Å) after each atom.
Atoms (fractional coordinates):
Sm  0.2500  0.2500  0.2500  4 Rh 2.95, 4 Zn 2.95
Rh  0.5000  0.5000  0.5000  4 Mg 2.95, 4 Sm 2.95
Zn  0.0000  0.0000  0.0000  4 Mg 2.95, 4 Sm 2.95
Mg  0.7500  0.7500  0.7500  4 Rh 2.95, 4 Zn 2.95

Properties
The magnetic moment is 0.000 μB per atom. For the total energy, the calculation gives -4.14 eV per atom. The formation energy is -0.407 eV per atom.


# 8
Computed, not measured: a relaxed structure of AcTbSm at the PBE-GGA level of DFT.

abc: 5.3234 5.3027 8.2418
angles: 71.15 90.00 90.00
With the nearest neighbours (Å) after each atom.
Atoms (fractional coordinates):
Tb  0.4282  0.1770  0.7413  6 Sm 3.59-3.76, 2 Tb 3.59, 4 Ac 3.77-3.79
Tb  0.9282  0.3319  0.4320  6 Sm 3.59-3.76, 2 Tb 3.59, 4 Ac 3.77-3.79
Sm  0.4281  0.8321  0.4314  6 Tb 3.59-3.76, 2 Sm 3.60, 4 Ac 3.78
Sm  0.9281  0.6768  0.7419  6 Tb 3.59-3.76, 2 Sm 3.60, 4 Ac 3.78
Ac  0.4278  0.5050  0.0858  4 Ac 3.76, 4 Tb 3.77-3.79, 4 Sm 3.78
Ac  0.9278  0.0040  0.0875  4 Ac 3.76, 4 Tb 3.77-3.79, 4 Sm 3.78

Properties
The magnetic moment is 0.000 μB per atom. As for the energy relative to the lowest polymorph listed for this composition: 0.001 eV/atom. For the total energy, the calculation gives -4.44 eV per atom. The formation energy is 0.049 eV per atom.